Below is crystalline MnPdNF2 at its relaxed geometry, with properties calculated at the PBE with a Hubbard U level.

Properties
Total magnetic moment = 2.46 μB per formula unit
Energy above the most stable polymorph in this dataset = 0.0 kJ per mole of atoms

a = 3.9889 Å, b = 3.9889 Å, c = 4.0141 Å
α = 90.00°, β = 90.00°, γ = 90.00°
With the nearest neighbours (Å) after each atom.
Space group P4/mmm (No. 123)
Unique sites:
Mn 0.0000 0.0000 0.0000 (multiplicity 1)  4 F 1.99, 2 N 2.01
Pd 0.5000 0.5000 0.5000 (multiplicity 1)  4 N 2.82, 8 F 2.83
N 0.0000 0.0000 0.5000 (multiplicity 1)  2 Mn 2.01
F 0.0000 0.5000 0.0000 (multiplicity 2)  2 Mn 1.99